An optimized crystal structure of B2MoW4. Source: Alexandria via LeMat-Bulk, functional PBE.

Lattice parameters (Å, degrees): 6.883 6.883 6.883 35.86 35.86 35.86
Positions (direct):
B: 0.112 0.112 0.112
B: 0.888 0.888 0.888
Mo: 0.000 0.000 0.000
W: 0.224 0.224 0.224
W: 0.386 0.386 0.386
W: 0.614 0.614 0.614
W: 0.776 0.776 0.776

Properties
VASP energy   -73.115 eV per cell
Formation enthalpy at 0 K   0.412 eV/atom
Space-group type   R-3m (166)